# 1
Entry from the Alexandria database: a geometry-optimized ScSiSeN2 structure (PBE).

Geometry as CIF:
```
data_ScSiSeN2
_cell_length_a 4.023
_cell_length_b 4.023
_cell_length_c 5.610
_cell_angle_alpha 90.00
_cell_angle_beta 90.00
_cell_angle_gamma 90.00
_space_group_name_H-M_alt 'P 4/m m m'
_space_group_IT_number 123
_space_group_name_Hall '-P 4 2'
loop_
_atom_site_label
_atom_site_type_symbol
_atom_site_fract_x
_atom_site_fract_y
_atom_site_fract_z
Sc1 Sc 0.000 0.000 0.000
Si1 Si 0.500 0.500 0.500
Se1 Se 0.000 0.000 0.500
N1 N 0.000 0.500 0.000
```

Computed properties:
- formation energy (no corrections) (meV/atom) = 756
- excess energy over the best structure of this formula in the dataset (eV/atom) = 0.8942
- size of the total moment (μB per atom) = 0.0641



# 2
Entry from the Alexandria database: a geometry-optimized ScSiSe2N structure (PBE).

Geometry as CIF:
```
data_ScSiSe2N
_cell_length_a 5.222
_cell_length_b 5.222
_cell_length_c 4.078
_cell_angle_alpha 90.00
_cell_angle_beta 90.00
_cell_angle_gamma 90.00
_space_group_name_H-M_alt 'P 4/m m m'
_space_group_IT_number 123
_space_group_name_Hall '-P 4 2'
loop_
_atom_site_label
_atom_site_type_symbol
_atom_site_fract_x
_atom_site_fract_y
_atom_site_fract_z
Sc1 Sc 0.000 0.000 0.000
Si1 Si 0.500 0.500 0.500
Se1 Se 0.000 0.500 0.000
N1 N 0.000 0.000 0.500
```

Computed properties:
- formation energy (no corrections) (meV/atom) = 269
- excess energy over the best structure of this formula in the dataset (eV/atom) = 0.6295
- size of the total moment (μB per atom) = 0.3749



# 3
Entry from the Alexandria database: a geometry-optimized ScSiSe2N structure (PBE).

Geometry as CIF:
```
data_ScSiSe2N
_cell_length_a 5.039
_cell_length_b 5.039
_cell_length_c 3.387
_cell_angle_alpha 90.00
_cell_angle_beta 90.00
_cell_angle_gamma 90.00
_space_group_name_H-M_alt 'P 4/m m m'
_space_group_IT_number 123
_space_group_name_Hall '-P 4 2'
loop_
_atom_site_label
_atom_site_type_symbol
_atom_site_fract_x
_atom_site_fract_y
_atom_site_fract_z
Sc1 Sc 0.000 0.000 0.000
Si1 Si 0.500 0.500 0.500
Se1 Se 0.000 0.500 0.500
N1 N 0.500 0.500 0.000
```

Computed properties:
- formation energy (no corrections) (meV/atom) = -361
- excess energy over the best structure of this formula in the dataset (eV/atom) = 0.0000
- size of the total moment (μB per atom) = 0.0538



# 4
Entry from the Alexandria database: a geometry-optimized ScSi2SeN structure (PBE).

Geometry as CIF:
```
data_ScSi2SeN
_cell_length_a 4.999
_cell_length_b 4.999
_cell_length_c 3.712
_cell_angle_alpha 90.00
_cell_angle_beta 90.00
_cell_angle_gamma 90.00
_space_group_name_H-M_alt 'P 4/m m m'
_space_group_IT_number 123
_space_group_name_Hall '-P 4 2'
loop_
_atom_site_label
_atom_site_type_symbol
_atom_site_fract_x
_atom_site_fract_y
_atom_site_fract_z
Sc1 Sc 0.000 0.000 0.000
Si1 Si 0.000 0.500 0.500
Se1 Se 0.500 0.500 0.500
N1 N 0.500 0.500 0.000
```

Computed properties:
- formation energy (no corrections) (meV/atom) = 946
- size of the total moment (μB per atom) = 0.0000



Number 3 is which compound? ScSiSe2N